Here is a geometry-optimized PmAl4AgPt2 structure from the Alexandria database. Energies are from PBE.

POSCAR file:
```
PmAl4AgPt2
1.0
2.1500 1.2413 9.0716
-2.1500 1.2413 9.0716
0.0000 -2.4826 9.0716
Pm Al Ag Pt
1 4 1 2
Cartesian
0.0000 0.0000 0.0000
0.0000 0.0000 3.4403
0.0000 0.0000 10.9404
0.0000 0.0000 16.2744
0.0000 0.0000 23.7746
0.0000 0.0000 13.6074
0.0000 0.0000 6.5240
0.0000 0.0000 20.6909
```

Properties
For the formation energy, the calculation gives -0.696 eV per atom. For the density of states at the Fermi level, the calculation gives 3.10 states/eV per cell. The value obtained for the total magnetic moment is 0.000 Bohr magnetons per cell.